Run 1
Density functional theory data (PBE) for a relaxed structure of BPb2I.

Calculated values
Total magnetic moment   0.000 μB/atom

Geometry as CIF:
```
data_BPb2I
_space_group_name_H-M_alt 'I -4 2 d'
_space_group_IT_number 122
_space_group_name_Hall 'I -4 2bw'
_cell_length_a 7.432
_cell_length_b 7.432
_cell_length_c 8.996
_cell_angle_alpha 90.00
_cell_angle_beta 90.00
_cell_angle_gamma 90.00
loop_
_atom_site_label
_atom_site_fract_x
_atom_site_fract_y
_atom_site_fract_z
_atom_site_occupancy
B1 0.000 0.000 0.000 1
Pb1 0.137 0.750 0.125 1
I1 0.000 0.000 0.500 1
```

Run 2
Density functional theory data (PBE) for a relaxed structure of BPb2I.

Calculated values
Total magnetic moment   0.000 μB/atom

Geometry as CIF:
```
data_BPb2I
_space_group_name_H-M_alt 'F m -3 m'
_space_group_IT_number 225
_space_group_name_Hall '-F 4 2 3'
_cell_length_a 7.610
_cell_length_b 7.610
_cell_length_c 7.610
_cell_angle_alpha 90.00
_cell_angle_beta 90.00
_cell_angle_gamma 90.00
loop_
_atom_site_label
_atom_site_fract_x
_atom_site_fract_y
_atom_site_fract_z
_atom_site_occupancy
B1 0.000 0.000 0.000 1
Pb1 0.250 0.250 0.250 1
I1 0.000 0.000 0.500 1
```

Most stable of them? run 1.